[1]
A plane-wave DFT calculation with PBE was carried out for a relaxed structure of CsTc2AsO8.

- formation energy without anion corrections (meV/atom) = -1334
- symmetry = C2/m

Cell: 5.374 5.374 8.947 Å, 96.22 96.22 67.97°
Sites, in units of the cell vectors:
1 Cs 0.000 0.000 0.000
2 Tc 0.383 0.383 0.705
3 Tc 0.617 0.617 0.295
4 As 0.000 0.000 0.500
5 O 0.224 0.224 0.555
6 O 0.248 0.737 0.680
7 O 0.263 0.752 0.320
8 O 0.319 0.319 0.880
9 O 0.681 0.681 0.120
10 O 0.737 0.248 0.680
11 O 0.752 0.263 0.320
12 O 0.776 0.776 0.445

[2]
A plane-wave DFT calculation with PBE was carried out for a relaxed structure of CsTcAs2O.

- formation energy without anion corrections (meV/atom) = -97
- symmetry = P4/mmm

Cell: 5.323 5.323 3.819 Å, 90.00 90.00 90.00°
Sites, in units of the cell vectors:
1 Cs 0.000 0.000 0.000
2 Tc 0.500 0.500 0.500
3 As 0.000 0.500 0.500
4 As 0.500 0.000 0.500
5 O 0.500 0.500 0.000

[3]
A plane-wave DFT calculation with PBE was carried out for a relaxed structure of CsTeAs2O8.

- formation energy without anion corrections (meV/atom) = -1136
- symmetry = R32

Cell: 10.277 10.277 10.277 Å, 29.26 29.26 29.26°
Sites, in units of the cell vectors:
1 Cs 0.000 0.000 0.000
2 Te 0.500 0.500 0.500
3 As 0.233 0.233 0.233
4 As 0.767 0.767 0.767
5 O 0.126 0.503 0.734
6 O 0.266 0.497 0.874
7 O 0.290 0.290 0.290
8 O 0.497 0.874 0.266
9 O 0.503 0.734 0.126
10 O 0.710 0.710 0.710
11 O 0.734 0.126 0.503
12 O 0.874 0.266 0.497

[4]
A plane-wave DFT calculation with PBE was carried out for a relaxed structure of CsTeAsO6.

- formation energy without anion corrections (meV/atom) = -1288
- symmetry = P312

Cell: 5.111 5.111 6.926 Å, 90.00 90.00 120.00°
Sites, in units of the cell vectors:
1 Cs 0.000 0.000 0.000
2 Te 0.667 0.333 0.500
3 As 0.333 0.667 0.500
4 O 0.012 0.392 0.658
5 O 0.012 0.620 0.342
6 O 0.380 0.392 0.342
7 O 0.380 0.988 0.658
8 O 0.608 0.620 0.658
9 O 0.608 0.988 0.342

[5]
A plane-wave DFT calculation with PBE was carried out for a relaxed structure of CsTeAs2O.

- formation energy without anion corrections (meV/atom) = 1160
- symmetry = P4/mmm

Cell: 5.819 5.819 4.338 Å, 90.00 90.00 90.00°
Sites, in units of the cell vectors:
1 Cs 0.000 0.000 0.000
2 Te 0.500 0.500 0.500
3 As 0.000 0.500 0.000
4 As 0.500 0.000 0.000
5 O 0.000 0.000 0.500

[6]
A plane-wave DFT calculation with PBE was carried out for a relaxed structure of Cs2ThAsO6.

- formation energy without anion corrections (meV/atom) = -1866
- symmetry = P-3m1

Cell: 6.828 6.828 5.848 Å, 90.00 90.00 120.00°
Sites, in units of the cell vectors:
1 Cs 0.333 0.667 0.386
2 Cs 0.667 0.333 0.614
3 Th 0.000 0.000 0.000
4 As 0.000 0.000 0.500
5 O 0.127 0.253 0.696
6 O 0.127 0.873 0.696
7 O 0.253 0.127 0.304
8 O 0.747 0.873 0.696
9 O 0.873 0.127 0.304
10 O 0.873 0.747 0.304

[7]
A plane-wave DFT calculation with PBE was carried out for a relaxed structure of CsThAs2O8.

- formation energy without anion corrections (meV/atom) = -1894
- symmetry = P-3

Cell: 5.926 5.926 8.754 Å, 90.00 90.00 120.00°
Sites, in units of the cell vectors:
1 Cs 0.000 0.000 0.000
2 Th 0.000 0.000 0.500
3 As 0.333 0.667 0.727
4 As 0.667 0.333 0.273
5 O 0.158 0.353 0.660
6 O 0.194 0.842 0.660
7 O 0.333 0.667 0.922
8 O 0.353 0.194 0.340
9 O 0.647 0.806 0.660
10 O 0.667 0.333 0.078
11 O 0.806 0.158 0.340
12 O 0.842 0.647 0.340

[8]
A plane-wave DFT calculation with PBE was carried out for a relaxed structure of Cs2ThAs2O8.

- formation energy without anion corrections (meV/atom) = -2096
- symmetry = I4_1/amd

Cell: 10.787 10.787 10.787 Å, 139.71 139.71 58.29°
Sites, in units of the cell vectors:
1 Cs 0.000 0.000 0.000
2 Cs 0.000 0.000 0.500
3 Cs 0.000 0.500 0.000
4 Cs 0.500 0.000 0.500
5 Th 0.375 0.625 0.750
6 Th 0.625 0.375 0.250
7 As 0.200 0.450 0.750
8 As 0.450 0.200 0.250
9 As 0.550 0.800 0.750
10 As 0.800 0.550 0.250
11 O 0.040 0.605 0.435
12 O 0.259 0.330 0.572
13 O 0.259 0.687 0.928
14 O 0.313 0.741 0.572
15 O 0.330 0.259 0.072
16 O 0.331 0.395 0.935
17 O 0.395 0.331 0.435
18 O 0.395 0.960 0.065
19 O 0.605 0.040 0.935
20 O 0.605 0.669 0.565
21 O 0.669 0.605 0.065
22 O 0.670 0.741 0.928
23 O 0.687 0.259 0.428
24 O 0.741 0.313 0.072
25 O 0.741 0.670 0.428
26 O 0.960 0.395 0.565

[9]
A plane-wave DFT calculation with PBE was carried out for a relaxed structure of CsThAsO5.

- formation energy without anion corrections (meV/atom) = -2349
- symmetry = C2/c

Cell: 6.547 6.547 8.378 Å, 105.11 105.11 106.33°
Sites, in units of the cell vectors:
1 Cs 0.165 0.835 0.750
2 Cs 0.835 0.165 0.250
3 Th 0.500 0.500 0.000
4 Th 0.500 0.500 0.500
5 As 0.190 0.810 0.250
6 As 0.810 0.190 0.750
7 O 0.092 0.276 0.884
8 O 0.214 0.640 0.377
9 O 0.276 0.092 0.384
10 O 0.360 0.786 0.123
11 O 0.442 0.558 0.750
12 O 0.558 0.442 0.250
13 O 0.640 0.214 0.877
14 O 0.724 0.908 0.616
15 O 0.786 0.360 0.623
16 O 0.908 0.724 0.116

[10]
A plane-wave DFT calculation with PBE was carried out for a relaxed structure of Cs2TlAsO4.

- formation energy without anion corrections (meV/atom) = -1278
- symmetry = Fddd

Cell: 13.638 12.600 6.922 Å, 83.20 66.54 30.26°
Sites, in units of the cell vectors:
1 Cs 0.061 0.061 0.689
2 Cs 0.311 0.311 0.939
3 Cs 0.689 0.689 0.061
4 Cs 0.939 0.939 0.311
5 Tl 0.125 0.125 0.125
6 Tl 0.875 0.875 0.875
7 As 0.375 0.375 0.375
8 As 0.625 0.625 0.625
9 O 0.094 0.578 0.484
10 O 0.344 0.484 0.578
11 O 0.422 0.906 0.656
12 O 0.484 0.344 0.094
13 O 0.516 0.656 0.906
14 O 0.578 0.094 0.344
15 O 0.656 0.516 0.422
16 O 0.906 0.422 0.516

[11]
A plane-wave DFT calculation with PBE was carried out for a relaxed structure of CsTlAsO4.

- formation energy without anion corrections (meV/atom) = -1221
- symmetry = I-4

Cell: 6.326 6.326 8.737 Å, 90.00 90.00 90.00°
Sites, in units of the cell vectors:
1 Cs 0.000 0.000 0.000
2 Cs 0.500 0.500 0.500
3 Tl 0.000 0.000 0.500
4 Tl 0.500 0.500 0.000
5 As 0.000 0.500 0.250
6 As 0.500 0.000 0.750
7 O 0.114 0.299 0.358
8 O 0.201 0.614 0.142
9 O 0.299 0.886 0.642
10 O 0.386 0.201 0.858
11 O 0.614 0.799 0.858
12 O 0.701 0.114 0.642
13 O 0.799 0.386 0.142
14 O 0.886 0.701 0.358

[12]
A plane-wave DFT calculation with PBE was carried out for a relaxed structure of Cs3TmAs2O8.

- formation energy without anion corrections (meV/atom) = -2007
- symmetry = P-3m1

Cell: 5.999 5.999 8.766 Å, 90.00 90.00 120.00°
Sites, in units of the cell vectors:
1 Cs 0.000 0.000 0.000
2 Cs 0.333 0.667 0.761
3 Cs 0.667 0.333 0.239
4 Tm 0.000 0.000 0.500
5 As 0.333 0.667 0.290
6 As 0.667 0.333 0.710
7 O 0.176 0.351 0.354
8 O 0.176 0.824 0.354
9 O 0.333 0.667 0.096
10 O 0.351 0.176 0.646
11 O 0.649 0.824 0.354
12 O 0.667 0.333 0.904
13 O 0.824 0.176 0.646
14 O 0.824 0.649 0.646